No. 1
Density functional theory data (PBEsol) for crystalline Ca3ZrIn at its relaxed geometry.

POSCAR file:
```
Ca3ZrIn
1.0
5.5557 0.0000 0.0000
0.0000 5.5557 0.0000
0.0000 0.0000 5.5557
Ca Zr In
3 1 1
direct
0.0000 0.5000 0.0000
0.0000 0.0000 0.5000
0.5000 0.0000 0.0000
0.0000 0.0000 0.0000
0.5000 0.5000 0.5000
```

---

No. 2
CaZrIn, optimized geometry, DFT PBEsol; E above lowest polymorph = 0.571 eV/atom
1.0
-1.1523 -3.0492 3.7619
3.4713 -1.2542 3.3399
-0.2623 1.7679 4.6458
Zr In Ca
1 1 1
direct
0.2500 0.2500 0.2500
0.5000 0.5000 0.5000
0.0000 0.0000 0.0000

---

No. 3
Density functional theory data (PBEsol) for crystalline Ca5Ir at its relaxed geometry.

POSCAR file:
```
Ca5Ir
1.0
-5.4048 2.5411 -2.9794
3.2866 -0.8962 -6.7265
-6.0642 -14.1602 -1.0763
Ca Ir
20 4
direct
0.3249 0.9653 0.6446
0.8500 0.0957 0.7500
0.6413 0.3081 0.5669
0.6751 0.0347 0.1446
0.8587 0.8081 0.5669
0.3500 0.4043 0.2500
0.6413 0.3081 0.9331
0.1751 0.4653 0.8554
0.8249 0.5347 0.3554
0.3249 0.9653 0.8554
0.1500 0.9043 0.2500
0.8249 0.5347 0.1446
0.8587 0.8081 0.9331
0.6500 0.5957 0.7500
0.1751 0.4653 0.6446
0.3587 0.6919 0.4331
0.1413 0.1919 0.4331
0.3587 0.6919 0.0669
0.1413 0.1919 0.0669
0.6751 0.0347 0.3554
0.5360 0.7395 0.2500
0.9640 0.2395 0.2500
0.4640 0.2605 0.7500
0.0360 0.7605 0.7500
```

---

no.,total magnetization (μB/cell),energy relative to the elements (eV per atom)
1,0.0,0.815
2,0.0,0.546
3,0.0,-0.208